(1)
5
Lattice="1.860 1.074 9.010 -1.860 1.074 9.010 0.000 -2.148 9.010" Properties=species:S:1:pos:R:3 comment="GaNiBiPS, relaxed, DFT PBE-GGA" sg=R3m total_energy_ev_per_atom=-4.771 rho_g_cm3=6.2 formation_energy_uncorrected_ev_per_atom=-0.326 total_magnetization_mub_per_atom=0.000 pbc="T T T"
Ga 0.000 0.000 0.000
Ni 0.000 0.000 12.002
Bi 0.000 0.000 22.640
P 0.000 0.000 2.340
S 0.000 0.000 16.972


(2)
5
Lattice="8.119 -1.757 0.000 8.119 1.757 0.000 -0.861 0.000 3.702" Properties=species:S:1:pos:R:3 comment="GaNiBiPS, relaxed, DFT PBE-GGA" sg=Cm total_energy_ev_per_atom=-4.674 rho_g_cm3=6.3 formation_energy_uncorrected_ev_per_atom=-0.229 total_magnetization_mub_per_atom=0.000 pbc="T T T"
Ga 0.000 0.000 0.000
Ni 5.026 0.000 1.217
Bi 11.465 0.000 2.778
P 14.420 0.000 1.531
S 9.551 0.000 0.347


(3)
5
Lattice="4.638 0.000 0.000 0.000 4.638 0.000 0.000 0.000 5.250" Properties=species:S:1:pos:R:3 comment="YGa2NiBi, relaxed, DFT PBE-GGA" sg=P4/mmm total_energy_ev_per_atom=-4.815 rho_g_cm3=7.3 total_magnetization_mub_per_atom=0.000 delta_e_f_ev_per_atom=-0.379 pbc="T T T"
Y 0.000 0.000 0.000
Ga 0.000 2.319 2.625
Ga 2.319 0.000 2.625
Ni 0.000 0.000 2.625
Bi 2.319 2.319 0.000


(4)
4
Lattice="4.040 0.000 0.000 0.000 4.040 0.000 0.000 0.000 5.979" Properties=species:S:1:pos:R:3 comment="Np2GaBi, relaxed, DFT PBE-GGA" sg=P4/mmm total_energy_ev_per_atom=-8.172 rho_g_cm3=12.8 total_magnetization_mub_per_atom=2.101 delta_e_f_ev_per_atom=0.025 pbc="T T T"
Np 0.000 0.000 1.330
Np 0.000 0.000 4.649
Ga 2.020 2.020 0.000
Bi 2.020 2.020 2.989


(5)
6
Lattice="0.000 3.995 3.995 3.995 0.000 3.995 3.995 3.995 0.000" Properties=species:S:1:pos:R:3 comment="NpGa4Bi, relaxed, DFT PBE-GGA" sg=F-43m total_energy_ev_per_atom=-4.768 rho_g_cm3=9.4 total_magnetization_mub_per_atom=0.861 delta_e_f_ev_per_atom=0.053 pbc="T T T"
Np 0.000 0.000 0.000
Ga 2.992 2.992 2.992
Ga 4.997 4.997 2.992
Ga 4.997 2.992 4.997
Ga 2.992 4.997 4.997
Bi 5.992 5.992 5.992


(6)
18
Lattice="5.370 0.000 0.000 -2.685 4.651 0.000 0.000 0.000 10.159" Properties=species:S:1:pos:R:3 comment="NpGaBiO6, relaxed, DFT PBE-GGA" sg=P-31c total_energy_ev_per_atom=-7.546 rho_g_cm3=8.0 formation_energy_uncorrected_ev_per_atom=-2.035 total_magnetization_mub_per_atom=0.111 pbc="T T T"
Np 0.000 3.100 2.540
Np 2.685 1.550 7.619
Ga 0.000 3.100 7.619
Ga 2.685 1.550 2.540
Bi 0.000 0.000 0.000
Bi 0.000 0.000 5.080
O -0.931 1.683 6.503
O -1.693 3.003 8.736
O 0.931 1.683 8.736
O -0.762 4.616 6.503
O 1.923 0.035 1.423
O 0.992 1.648 3.657
O 1.693 3.003 6.503
O 0.762 4.616 8.736
O 3.447 0.035 3.657
O 1.754 2.968 1.423
O 4.378 1.648 1.423
O 3.616 2.968 3.657


(7)
5
Lattice="5.424 0.000 0.000 0.000 5.424 0.000 0.000 0.000 5.424" Properties=species:S:1:pos:R:3 comment="GaBi3O, relaxed, DFT PBE-GGA" sg=Pm-3m total_energy_ev_per_atom=-2.989 rho_g_cm3=7.4 formation_energy_uncorrected_ev_per_atom=0.937 total_magnetization_mub_per_atom=0.000 pbc="T T T"
Ga 0.000 0.000 0.000
Bi 0.000 0.000 2.712
Bi 0.000 2.712 0.000
Bi 2.712 0.000 0.000
O 2.712 2.712 2.712


(8)
14
Lattice="5.572 0.000 0.000 0.000 5.903 0.000 -2.768 0.000 7.595" Properties=species:S:1:pos:R:3 comment="GaBi2O4, relaxed, DFT PBE-GGA" sg=P2_1/m total_energy_ev_per_atom=-5.593 rho_g_cm3=7.3 formation_energy_uncorrected_ev_per_atom=-1.219 total_magnetization_mub_per_atom=0.000 pbc="T T T"
Ga 0.318 1.476 1.530
Ga 2.486 4.427 6.065
Bi 0.220 4.427 3.884
Bi 2.048 4.427 0.292
Bi 0.756 1.476 7.303
Bi 2.584 1.476 3.711
O -2.624 1.476 7.297
O -1.250 4.427 5.666
O 1.321 0.137 2.452
O 1.321 2.814 2.452
O 1.484 3.089 5.143
O 1.484 5.766 5.143
O 4.054 1.476 1.929
O 5.428 4.427 0.298


(9)
18
Lattice="5.256 0.000 0.000 0.000 5.517 0.000 0.000 0.000 9.069" Properties=species:S:1:pos:R:3 comment="GaBi2O6, relaxed, DFT PBE-GGA" sg=Pnnm total_energy_ev_per_atom=-5.614 rho_g_cm3=7.4 formation_energy_uncorrected_ev_per_atom=-1.110 total_magnetization_mub_per_atom=0.000 pbc="T T T"
Ga 0.000 0.000 0.000
Ga 2.628 2.759 4.535
Bi 0.000 2.759 1.751
Bi 0.000 2.759 7.319
Bi 2.628 0.000 2.784
Bi 2.628 0.000 6.285
O 0.933 1.720 0.000
O 1.135 4.641 1.471
O 1.135 4.641 7.598
O 1.493 1.882 3.064
O 1.493 1.882 6.006
O 1.695 4.479 4.535
O 3.561 1.038 4.535
O 3.763 3.635 3.064
O 3.763 3.635 6.006
O 4.121 0.877 1.471
O 4.121 0.877 7.598
O 4.323 3.797 0.000


(10)
5
Lattice="5.574 0.000 0.000 0.000 5.574 0.000 0.000 0.000 5.574" Properties=species:S:1:pos:R:3 comment="Ga3BiO, relaxed, DFT PBE-GGA" sg=Pm-3m total_energy_ev_per_atom=-2.630 rho_g_cm3=4.2 formation_energy_uncorrected_ev_per_atom=0.954 total_magnetization_mub_per_atom=0.000 pbc="T T T"
Ga 0.000 0.000 2.787
Ga 0.000 2.787 0.000
Ga 2.787 0.000 0.000
Bi 0.000 0.000 0.000
O 2.787 2.787 2.787


(11)
5
Lattice="5.004 0.000 0.000 0.000 5.004 0.000 0.000 0.000 5.004" Properties=species:S:1:pos:R:3 comment="GaBi3O, relaxed, DFT PBE-GGA" sg=Pm-3m total_energy_ev_per_atom=-3.982 rho_g_cm3=9.4 formation_energy_uncorrected_ev_per_atom=-0.056 total_magnetization_mub_per_atom=0.000 pbc="T T T"
Ga 0.000 0.000 0.000
Bi 0.000 2.502 2.502
Bi 2.502 0.000 2.502
Bi 2.502 2.502 0.000
O 2.502 2.502 2.502


(12)
32
Lattice="7.789 -3.542 0.000 7.789 3.542 0.000 -5.824 0.000 9.315" Properties=species:S:1:pos:R:3 comment="GaBi2O5, relaxed, DFT PBE-GGA" sg=C2/c total_energy_ev_per_atom=-5.759 rho_g_cm3=7.3 formation_energy_uncorrected_ev_per_atom=-1.312 total_magnetization_mub_per_atom=0.000 pbc="T T T"
Ga 1.210 0.711 2.824
Ga -1.703 -0.711 7.481
Ga 11.457 0.711 1.834
Ga 8.544 -0.711 6.492
Bi 4.123 1.886 4.790
Bi 4.676 0.792 1.430
Bi 2.719 1.886 9.182
Bi 1.764 -0.792 6.087
Bi 7.990 0.792 3.228
Bi 7.035 -1.886 0.133
Bi 5.078 -0.792 7.885
Bi 5.631 -1.886 4.525
O 0.751 0.185 1.101
O -2.151 0.653 8.689
O -2.161 -0.185 5.759
O 3.031 1.015 2.939
O 1.906 1.404 6.125
O 0.761 -0.653 4.031
O 6.956 0.897 1.117
O 5.711 0.897 3.541
O 4.936 1.404 7.848
O 0.119 -1.015 7.596
O 9.635 1.015 1.719
O 4.818 -1.404 1.468
O 4.043 -0.897 5.774
O 2.798 -0.897 8.199
O 8.993 0.653 5.284
O 7.848 -1.404 3.190
O 6.723 -1.015 6.377
O 11.915 0.185 3.556
O 11.905 -0.653 0.627
O 9.003 -0.185 8.214


Q: Number 3 is which compound?
A: YGa2NiBi